[1]
BaPa2NO5 after structural relaxation, computed with PBE.

Properties
ΔE_f (raw)   -2.89 eV/atom
Space group   No. 123

Cell lengths 4.344, 4.344, 8.790 Å; angles 90.00, 90.00, 90.00 degrees
Sites, in units of the cell vectors:
1 Pa 0.000 0.000 0.242
2 O 0.000 0.500 0.281
3 O 0.000 0.000 0.500
4 N 0.000 0.000 0.000
5 O 0.500 0.000 0.719
6 O 0.500 0.000 0.281
7 Pa 0.000 0.000 0.758
8 O 0.000 0.500 0.719
9 Ba 0.500 0.500 0.500

***

[2]
SnIr3S5 after structural relaxation, computed with PBE.

Properties
ΔE_f (raw)   -0.14 eV/atom
Space group   No. 12

Cell lengths 6.592, 6.592, 9.680 Å; angles 66.93, 66.93, 69.43 degrees
Sites, in units of the cell vectors:
1 S 0.328 0.932 0.305
2 Ir 0.315 0.315 0.137
3 Sn 0.840 0.840 0.352
4 Ir 0.604 0.604 0.316
5 Ir 0.000 0.000 0.000
6 S 0.696 0.304 0.000
7 S 0.232 0.232 0.953
8 S 0.932 0.328 0.305
9 Ir 0.000 0.000 0.500
10 S 0.672 0.068 0.695
11 S 0.625 0.625 0.648
12 S 0.768 0.768 0.047
13 Ir 0.685 0.685 0.863
14 S 0.304 0.696 0.000
15 Ir 0.396 0.396 0.684
16 S 0.068 0.672 0.695
17 Sn 0.160 0.160 0.648
18 S 0.375 0.375 0.352

***

[3]
Ce3Pr4SmS8 after structural relaxation, computed with PBE.

Properties
ΔE_f (raw)   -2.03 eV/atom
Space group   No. 166

Cell lengths 8.130, 8.126, 8.130 Å; angles 120.02, 120.00, 90.00 degrees
Each line ends with the local moment (μB).
Sites, in units of the cell vectors:
1 S 0.247 0.742 0.494  -0.01
2 S 0.748 0.742 0.995  -0.01
3 S 0.753 0.258 0.506  -0.01
4 S 0.748 0.744 0.496  -0.01
5 S 0.753 0.258 0.005  -0.01
6 Ce 0.000 0.500 0.500  0.60
7 Pr 0.000 0.000 0.500  0.00
8 S 0.247 0.742 0.995  -0.01
9 Sm 0.000 0.500 0.000  0.02
10 Ce 0.500 0.500 0.000  0.60
11 Pr 0.500 0.000 0.500  0.00
12 Ce 0.500 0.500 0.500  0.60
13 S 0.252 0.256 0.504  -0.01
14 Pr 0.500 0.000 0.000  0.02
15 Pr 0.000 0.000 0.000  0.00
16 S 0.252 0.258 0.005  -0.01

***

[4]
Hf4Ti2Sn5 after structural relaxation, computed with PBE.

Properties
Calculated formation energy   -67 meV/atom
Space group   No. 12

Cell lengths 3.200, 7.888, 11.616 Å; angles 117.34, 97.92, 90.00 degrees
Sites, in units of the cell vectors:
1 Sn 0.826 0.090 0.652
2 Sn 0.132 0.326 0.263
3 Hf 0.018 0.712 0.037
4 Ti 0.593 0.572 0.185
5 Hf 0.740 0.663 0.480
6 Hf 0.982 0.288 0.963
7 Sn 0.174 0.910 0.348
8 Sn 0.500 0.000 0.000
9 Hf 0.260 0.337 0.520
10 Sn 0.868 0.674 0.737
11 Ti 0.407 0.428 0.815

***

Which formula does entry 3 have? Ce3Pr4SmS8